# Na3Ni3MoO8 (PBE with a Hubbard U, relaxed)
data_Na3Ni3MoO8
_chemical_formula_sum 'Na3 Ni3 Mo1 O8'
_space_group_name_H-M_alt 'P 1'
_space_group_IT_number 1
_cell_length_a 6.5177
_cell_length_b 6.5177
_cell_length_c 6.5177
_cell_angle_alpha 55.63
_cell_angle_beta 55.63
_cell_angle_gamma 55.63
loop_
_space_group_symop_operation_xyz
'x,y,z'
loop_
_atom_site_label
_atom_site_type_symbol
_atom_site_fract_x
_atom_site_fract_y
_atom_site_fract_z
Na1 Na 0.0000 0.5000 0.5000
Na2 Na 0.5000 0.0000 0.5000
Na3 Na 0.5000 0.5000 0.0000
Ni1 Ni 0.0000 0.0000 0.5000
Ni2 Ni 0.0000 0.5000 0.0000
Ni3 Ni 0.5000 0.0000 0.0000
Mo1 Mo 0.5000 0.5000 0.5000
O1 O 0.2269 0.2269 0.2269
O2 O 0.2593 0.7203 0.7203
O3 O 0.2797 0.2797 0.7407
O4 O 0.2797 0.7407 0.2797
O5 O 0.7203 0.2593 0.7203
O6 O 0.7203 0.7203 0.2593
O7 O 0.7407 0.2797 0.2797
O8 O 0.7731 0.7731 0.7731
# Calculated density: 4426 kg/m³
# Total magnetization: 5.0 μB/f.u.
# Space-group type: R-3m
# Electronic total energy: -5.235 eV/atom
# Crystal system: trigonal
# Density of states at the Fermi level: 0.2946 states/eV/atom